# 1
VASP calculation (PBE) on a geometry-optimized InIrOs2 structure.

Structure (POSCAR):
```
InIrOs2
1.0
9.200 -0.010 -0.006
8.766 2.793 -0.006
8.766 1.358 2.440
In Ir Os
1 1 2
Cartesian
13.349 2.068 1.213
19.945 3.090 1.812
26.710 4.138 2.427
6.827 1.058 0.620
```

Properties
Its crystal system is trigonal. Its space group is R3m, No. 160.

# 2
VASP calculation (PBE) on a geometry-optimized InIrOs2 structure.

Structure (POSCAR):
```
InIrOs2
1.0
-1.489 2.976 3.503
-1.910 0.336 4.425
4.120 0.272 2.659
In Ir Os
1 1 2
Cartesian
0.541 2.689 7.941
0.180 0.896 2.647
-3.264 3.290 7.927
0.225 1.814 5.295
```

Properties
Its crystal system is monoclinic. Its space group is C2/m, No. 12.

# 3
VASP calculation (PBE) on a geometry-optimized InIr2Os structure.

Structure (POSCAR):
```
InIr2Os
1.0
-0.710 1.055 -2.535
-2.466 -2.919 -0.524
-4.210 3.113 2.475
In Ir Os
1 2 1
Cartesian
-4.746 1.403 0.327
-0.090 0.067 0.053
-2.015 1.490 1.184
-2.641 -0.154 -0.911
```

Properties
Its crystal system is orthorhombic. Its space group is Pmmm, No. 47.

# 4
VASP calculation (PBE) on a geometry-optimized InIrOs2 structure.

Structure (POSCAR):
```
InIrOs2
1.0
-5.321 -1.608 1.764
-1.062 -2.267 -5.268
-1.078 -7.005 0.003
Ir Os In
2 4 2
Cartesian
0.000 0.000 0.000
-4.795 -5.275 0.008
-3.959 -3.110 0.522
-1.367 -3.299 -3.148
-3.156 -6.608 -1.083
-6.439 -8.743 -3.292
-3.191 -1.938 -1.752
-2.665 -5.605 -3.508
```

Properties
Its crystal system is tetragonal. Its space group is I-42d, No. 122.

# 5
VASP calculation (PBE) on a geometry-optimized InIr2Os structure.

Structure (POSCAR):
```
InIr2Os
1.0
9.112 -0.026 -0.015
8.674 2.793 -0.015
8.674 1.349 2.445
In Ir Os
1 2 1
Cartesian
19.845 3.087 1.811
26.354 4.100 2.405
13.337 2.075 1.217
6.615 1.029 0.604
```

Properties
Its crystal system is trigonal. Its space group is R-3m, No. 166.

# 6
VASP calculation (PBE) on a geometry-optimized InIrOs2 structure.

Structure (POSCAR):
```
InIrOs2
1.0
4.826 0.001 0.008
3.999 2.701 0.008
0.775 0.237 4.837
In Ir Os
1 1 2
Cartesian
4.796 1.469 2.362
2.461 0.754 1.202
0.771 0.236 4.738
7.147 2.188 3.815
```

Properties
Its crystal system is monoclinic. Its space group is Cm, No. 8.

| no. | DOS(E_F) (states/eV/atom) | final energy (eV per cell) | E_form (eV/f.u.) |
| --- | --- | --- | --- |
| 1 | 1.042 | -32.75 | 1.31 |
| 2 | 0.981 | -32.67 | 1.38 |
| 3 | 0.900 | -31.00 | 0.69 |
| 4 | 1.030 | -56.48 | 5.82 |
| 5 | 0.793 | -30.84 | 0.85 |
| 6 | 0.951 | -32.69 | 1.36 |